Entry 1:
# Er3GaRh3 | Alexandria | PBE-GGA | optimized geometry
# ΔH_f (0 K): -0.897 eV/atom
# Mass density: 10345 kg/m³
data_Er3GaRh3
_chemical_formula_sum 'Er12 Ga4 Rh12'
_cell_length_a 4.084
_cell_length_b 10.262
_cell_length_c 13.485
_cell_angle_alpha 90.00
_cell_angle_beta 90.00
_cell_angle_gamma 90.00
_space_group_name_H-M_alt 'C m c m'
_space_group_IT_number 63
_space_group_name_Hall '-C 2c 2'
loop_
_atom_site_label
_atom_site_type_symbol
_atom_site_fract_x
_atom_site_fract_y
_atom_site_fract_z
Er1 Er 0.000 0.025 0.250
Er2 Er 0.000 0.301 0.106
Ga1 Ga 0.000 0.000 0.000
Rh1 Rh 0.000 0.250 0.750
Rh2 Rh 0.000 0.413 0.589


Entry 2:
# ErGa4Rh2 | Alexandria | PBE-GGA | optimized geometry
# ΔH_f (0 K): -0.710 eV/atom
# Mass density: 9276 kg/m³
data_ErGa4Rh2
_chemical_formula_sum 'Er4 Ga16 Rh8'
_cell_length_a 16.548
_cell_length_b 4.144
_cell_length_c 6.808
_cell_angle_alpha 90.00
_cell_angle_beta 90.00
_cell_angle_gamma 90.00
_space_group_name_H-M_alt 'P n m a'
_space_group_IT_number 62
_space_group_name_Hall '-P 2ac 2n'
loop_
_atom_site_label
_atom_site_type_symbol
_atom_site_fract_x
_atom_site_fract_y
_atom_site_fract_z
Er1 Er 0.142 0.250 0.068
Ga1 Ga 0.023 0.750 0.141
Ga2 Ga 0.054 0.250 0.493
Ga3 Ga 0.175 0.750 0.376
Ga4 Ga 0.209 0.750 0.815
Rh1 Rh 0.059 0.750 0.760
Rh2 Rh 0.194 0.250 0.604